Compound: La2MgInRh
Source: the Alexandria database
Functional: PBE
Structure: optimized geometry

energy above the most stable polymorph in this dataset = 0.000 eV per atom
energy = -23.77 eV per cell
energy relative to the elements = -43.1 kJ/mol of atoms
volume = 152.3 Å³/cell
total magnetic moment = 0.0000 μB/atom

Geometry as POSCAR:
```
La2MgInRh
1.0
5.4645 0.0000 0.0000
0.0000 5.4645 0.0000
0.0000 0.0000 5.1004
Mg In Rh La
1 1 1 2
Direct
0.0000 0.0000 0.5000 Mg
0.5000 0.5000 0.5000 In
0.0000 0.0000 0.0000 Rh
0.0000 0.5000 0.0000 La
0.5000 0.0000 0.0000 La
```

=====

Compound: Y2PtPb
Source: the Alexandria database
Functional: PBE
Structure: optimized geometry

energy = -23.18 eV per cell
energy relative to the elements = -12.0 kJ/mol of atoms
volume = 121.3 Å³/cell
total magnetic moment = 0.0008 μB/atom

Geometry as POSCAR:
```
Y2PtPb
1.0
1.8249 5.5579 -5.7523
-1.7257 -7.6569 2.3882
-5.3482 -4.0601 4.7140
Y Pt Pb
2 1 1
Direct
0.0000 0.1773 0.1773 Y
0.0000 0.8227 0.8227 Y
0.0000 0.0000 0.0000 Pt
0.0000 0.5000 0.5000 Pb
```

=====

Compound: La2ZnB2Ru5
Source: the Alexandria database
Functional: PBE
Structure: optimized geometry

energy = -145.88 eV per cell
energy relative to the elements = -20.0 kJ/mol of atoms
volume = 305.1 Å³/cell
total magnetic moment = 0.0000 μB/atom

Geometry as POSCAR:
```
La2ZnB2Ru5
1.0
-1.7240 2.6376 -0.1952
-8.1430 -5.1852 1.8544
1.2287 1.5161 9.6347
La Zn B Ru
4 2 4 10
Direct
0.0000 0.6771 0.1771 La
0.0000 0.3229 0.8229 La
0.0000 0.1771 0.3229 La
0.0000 0.8229 0.6771 La
0.0000 0.0000 0.0000 Zn
0.0000 0.5000 0.5000 Zn
0.0000 0.1216 0.6216 B
0.0000 0.8784 0.3784 B
0.0000 0.6216 0.8784 B
0.0000 0.3784 0.1216 B
0.5000 0.2233 0.0702 Ru
0.5000 0.7767 0.9298 Ru
0.5000 0.0702 0.7767 Ru
0.5000 0.7233 0.4298 Ru
0.5000 0.9298 0.2233 Ru
0.5000 0.2767 0.5702 Ru
0.5000 0.5702 0.7233 Ru
0.5000 0.4298 0.2767 Ru
0.5000 0.5000 0.0000 Ru
0.5000 0.0000 0.5000 Ru
```

=====

- Which of these has the lowest energy?
  La2ZnB2Ru5

=====

- Look up the total magnetic moment of the third one.
  0.0000 μB/atom

=====

- energy relative to the elements of number 3 (La2ZnB2Ru5)?
  -20.0 kJ/mol of atoms